DFT (PBE) results for a relaxed structure of Li2PuCu2Se4.

Cell lengths 14.639, 3.925, 7.584 Å; angles 90.00, 121.00, 90.00 degrees
Space group C2/m (No. 12)
One atom of each set of equivalent atoms:
1 Li 0.132 0.000 0.067 [4 per cell]
2 Pu 0.000 0.000 0.500 [2 per cell]
3 Cu 0.182 0.500 0.482 [4 per cell]
4 Se 0.009 0.500 0.777 [4 per cell]
5 Se 0.226 0.000 0.720 [4 per cell]

Results
energy relative to the elements, uncorrected: -0.88 eV per atom

DFT (PBE) results for a relaxed structure of Li2PuCuSe4.

Cell lengths 3.927, 12.529, 13.556 Å; angles 90.00, 90.00, 90.00 degrees
Space group Cmcm (No. 63)
One atom of each set of equivalent atoms:
1 Li 0.000 0.118 0.062 [8 per cell]
2 Pu 0.000 0.393 0.250 [4 per cell]
3 Cu 0.000 0.329 0.750 [4 per cell]
4 Se 0.000 0.063 0.250 [4 per cell]
5 Se 0.000 0.198 0.619 [8 per cell]
6 Se 0.000 0.500 0.000 [4 per cell]

Results
energy relative to the elements, uncorrected: -0.87 eV per atom